(1)
First-principles (PBE) data for CoTeW after structural relaxation, as listed in Alexandria via LeMat-Bulk.

The calculation puts the uncorrected formation energy at 0.640 eV/atom. The total DFT energy (no corrections) comes out at -7.093 eV per atom. The calculation puts the total magnetization at 0.00 Bohr magnetons per cell. Its theoretical density is 11.2 g cm⁻³.

Cell: 3.411 3.411 5.458 Å, 90.00 90.00 120.00°
Positions (direct):
Co: 0.000 0.000 0.000
Te: 0.333 0.667 0.375
W: 0.667 0.333 0.760

=====

(2)
First-principles (PBE) data for Na2In2Au3 after structural relaxation, as listed in Alexandria via LeMat-Bulk.

The total DFT energy (no corrections) comes out at -2.828 eV per atom. As for the energy relative to the elements: -0.2646 eV per atom. The calculation puts the total magnetization at 0.00 Bohr magnetons per cell. Its theoretical density is 9.1 g cm⁻³.

Cell: 4.739 4.829 8.348 Å, 73.62 74.07 61.33°
Positions (direct):
Na: 0.132 0.139 0.104
Na: 0.868 0.861 0.896
In: 0.390 0.392 0.333
In: 0.610 0.608 0.667
Au: 0.000 0.000 0.500
Au: 0.262 0.252 0.710
Au: 0.738 0.748 0.290

=====

(3)
First-principles (PBE) data for TeSe after structural relaxation, as listed in Alexandria via LeMat-Bulk.

The calculation puts the uncorrected formation energy at 0.161 eV/atom. The total DFT energy (no corrections) comes out at -3.153 eV per atom. The calculation puts the total magnetization at 0.00 Bohr magnetons per cell. Its theoretical density is 5.1 g cm⁻³.

Cell: 3.875 8.448 4.102 Å, 90.00 90.00 90.00°
Positions (direct):
Te: 0.000 0.000 0.000
Te: 0.500 0.500 0.000
Se: 0.000 0.500 0.500
Se: 0.500 0.000 0.500